First-principles (PBE-GGA) data for a relaxed structure of La3Tb4Tm8, as listed in Alexandria via LeMat-Bulk.

Structure (CIF):
```
data_La3Tb4Tm8
_space_group_name_H-M_alt 'C 1 2/m 1'
_space_group_IT_number 12
_cell_length_a 13.3473
_cell_length_b 12.8571
_cell_length_c 6.7152
_cell_angle_alpha 90.00
_cell_angle_beta 120.01
_cell_angle_gamma 90.00
loop_
_space_group_symop_operation_xyz
'x,y,z'
'-x,-y,-z'
'-x,y,-z'
'x,-y,z'
'x+1/2,y+1/2,z'
'-x+1/2,-y+1/2,-z'
'-x+1/2,y+1/2,-z'
'x+1/2,-y+1/2,z'
loop_
_atom_site_label
_atom_site_fract_x
_atom_site_fract_y
_atom_site_fract_z
_atom_site_occupancy
La1 0.0000 0.0000 0.0000 1
La2 0.2500 0.2500 0.0000 1
Tb1 0.0000 0.5000 0.0000 1
Tb2 0.0000 0.5000 0.5000 1
Tb3 0.2500 0.2500 0.5000 1
Tm1 0.0000 0.1384 0.5000 1
Tm2 0.0000 0.2469 0.0000 1
Tm3 0.2345 0.0000 0.5027 1
Tm4 0.2395 0.0000 0.9865 1
```

Values from the calculation:
ΔH_f (0 K)   563 kJ/mol of formula units

=====

First-principles (PBE-GGA) data for a relaxed structure of LaHoGeAu, as listed in Alexandria via LeMat-Bulk.

Structure (CIF):
```
data_LaHoGeAu
_space_group_name_H-M_alt 'F -4 3 m'
_space_group_IT_number 216
_space_group_name_Hall 'F -4 2 3'
_cell_length_a 7.3713
_cell_length_b 7.3713
_cell_length_c 7.3713
_cell_angle_alpha 90.00
_cell_angle_beta 90.00
_cell_angle_gamma 90.00
loop_
_atom_site_label
_atom_site_fract_x
_atom_site_fract_y
_atom_site_fract_z
_atom_site_occupancy
La1 0.0000 0.0000 0.0000 1
Ho1 0.0000 0.0000 0.5000 1
Ge1 0.2500 0.2500 0.2500 1
Au1 0.2500 0.2500 0.7500 1
```

Values from the calculation:
ΔH_f (0 K)   -284 kJ/mol of formula units

=====

First-principles (PBE-GGA) data for a relaxed structure of PaSiTeO4, as listed in Alexandria via LeMat-Bulk.

Structure (CIF):
```
data_PaSiTeO4
_space_group_name_H-M_alt 'C 1 2/m 1'
_space_group_IT_number 12
_cell_length_a 10.7857
_cell_length_b 6.8239
_cell_length_c 6.4641
_cell_angle_alpha 90.00
_cell_angle_beta 103.76
_cell_angle_gamma 90.00
loop_
_space_group_symop_operation_xyz
'x,y,z'
'-x,-y,-z'
'-x,y,-z'
'x,-y,z'
'x+1/2,y+1/2,z'
'-x+1/2,-y+1/2,-z'
'-x+1/2,y+1/2,-z'
'x+1/2,-y+1/2,z'
loop_
_atom_site_label
_atom_site_fract_x
_atom_site_fract_y
_atom_site_fract_z
_atom_site_occupancy
Pa1 0.2304 0.0000 0.3455 1
Si1 0.1296 0.0000 0.7593 1
Te1 0.0083 0.5000 0.2409 1
O1 0.0257 0.0000 0.2871 1
O2 0.1903 0.1836 0.6444 1
O3 0.1926 0.0000 0.0148 1
```

Values from the calculation:
Uncorrected formation energy   -2.604 eV per atom

=====

First-principles (PBE-GGA) data for a relaxed structure of Zr6Cd3Rh, as listed in Alexandria via LeMat-Bulk.

Structure (CIF):
```
data_Zr6Cd3Rh
_space_group_name_H-M_alt 'C 1 2/m 1'
_space_group_IT_number 12
_cell_length_a 10.4420
_cell_length_b 5.7035
_cell_length_c 7.6132
_cell_angle_alpha 90.00
_cell_angle_beta 104.73
_cell_angle_gamma 90.00
loop_
_space_group_symop_operation_xyz
'x,y,z'
'-x,-y,-z'
'-x,y,-z'
'x,-y,z'
'x+1/2,y+1/2,z'
'-x+1/2,-y+1/2,-z'
'-x+1/2,y+1/2,-z'
'x+1/2,-y+1/2,z'
loop_
_atom_site_label
_atom_site_fract_x
_atom_site_fract_y
_atom_site_fract_z
_atom_site_occupancy
Zr1 0.1378 0.0000 0.4225 1
Zr2 0.1510 0.2436 0.8178 1
Cd1 0.0000 0.5000 0.5000 1
Cd2 0.1033 0.5000 0.1825 1
Rh1 0.0000 0.0000 0.0000 1
```

Values from the calculation:
ΔH_f (0 K)   21 kJ/mol of formula units

=====

First-principles (PBE-GGA) data for a relaxed structure of ErH6Pd3, as listed in Alexandria via LeMat-Bulk.

Structure (CIF):
```
data_ErH6Pd3
_space_group_name_H-M_alt 'P 1'
_space_group_IT_number 1
_cell_length_a 4.8976
_cell_length_b 4.9051
_cell_length_c 5.2628
_cell_angle_alpha 62.24
_cell_angle_beta 89.96
_cell_angle_gamma 60.11
loop_
_space_group_symop_operation_xyz
'x,y,z'
loop_
_atom_site_label
_atom_site_fract_x
_atom_site_fract_y
_atom_site_fract_z
_atom_site_occupancy
Er1 0.0000 0.0000 0.0000 1
H1 0.0146 0.4885 0.0554 1
H2 0.1741 0.9901 0.5547 1
H3 0.4968 0.9606 0.0529 1
H4 0.5430 0.4426 0.0548 1
H5 0.5461 0.2763 0.5570 1
H6 0.8335 0.6230 0.5552 1
Pd1 0.2270 0.5484 0.6760 1
Pd2 0.4425 0.1138 0.3297 1
Pd3 0.7712 0.4572 0.3162 1
```

=====

First-principles (PBE-GGA) data for a relaxed structure of Eu3MgAs, as listed in Alexandria via LeMat-Bulk.

Structure (CIF):
```
data_Eu3MgAs
_space_group_name_H-M_alt 'P m -3 m'
_space_group_IT_number 221
_space_group_name_Hall '-P 4 2 3'
_cell_length_a 5.8306
_cell_length_b 5.8306
_cell_length_c 5.8306
_cell_angle_alpha 90.00
_cell_angle_beta 90.00
_cell_angle_gamma 90.00
loop_
_atom_site_label
_atom_site_fract_x
_atom_site_fract_y
_atom_site_fract_z
_atom_site_occupancy
Eu1 0.0000 0.0000 0.5000 1
Mg1 0.5000 0.5000 0.5000 1
As1 0.0000 0.0000 0.0000 1
```

Values from the calculation:
ΔH_f (0 K)   -205 kJ/mol of formula units

=====

For reference, E by record: -126.48; -81.36; -224.50; -122.35; -43.39; -39.19 eV for the cell shown.